Record 1
A relaxed CoCl crystal, computed with GGA-PBE.

Results
Mass density, g/cm3: 4.494
Formation energy (no corrections), eV per formula unit: 0.15
DOS(E_F), states/eV per cell: 1.63

POSCAR file:
```
CoCl
1.0
-2.359 0.824 -4.545
-4.596 -0.930 2.216
-0.463 5.035 1.153
Co Cl
4 4
Cartesian
-4.953 2.626 -2.653 Co
-5.767 2.189 0.649 Co
-3.841 4.861 -0.303 Co
-0.273 0.182 -0.043 Co
-4.178 3.447 1.501 Cl
-5.388 0.964 -1.281 Cl
-2.089 1.388 -0.331 Cl
-3.180 4.058 -2.240 Cl
```

***

Record 2
A relaxed CaCdSe2 crystal, computed with GGA-PBE.

Results
Mass density, g/cm3: 5.104
Formation energy (no corrections), eV per formula unit: -4.26
DOS(E_F), states/eV per cell: 0.44

POSCAR file:
```
CaCdSe2
1.0
7.372 -0.004 0.002
5.376 5.045 -0.002
-6.366 -2.541 2.714
Se Cd Ca
2 1 1
Cartesian
0.582 0.230 0.000 Se
4.196 0.188 1.358 Se
2.126 2.288 1.356 Cd
5.852 2.314 0.000 Ca
```

***

Record 3
A relaxed Cs4Ac3CeTe8 crystal, computed with GGA-PBE.

Results
Mass density, g/cm3: 5.351
Formation energy (no corrections), eV per formula unit: -23.36
DOS(E_F), states/eV per cell: 8.30

POSCAR file:
```
Cs4Ac3CeTe8
1.0
-2.057 7.652 5.670
-6.706 3.632 -7.334
-1.443 -9.048 3.315
Cs Te Ce Ac
4 8 1 3
Cartesian
0.000 0.000 0.000 Cs
-1.750 -0.698 4.493 Cs
-1.028 3.826 2.835 Cs
-0.722 -4.524 1.658 Cs
-5.813 0.149 -2.310 Te
-2.599 2.803 -0.647 Te
-3.654 6.727 2.261 Te
-6.904 3.932 0.562 Te
-6.552 -4.491 -0.610 Te
-4.393 2.087 3.962 Te
-7.607 -0.566 2.299 Te
-3.302 -1.695 1.090 Te
-3.353 1.816 -3.667 Ce
-4.381 5.642 -0.832 Ac
-5.103 1.118 0.826 Ac
-4.075 -2.708 -2.009 Ac
```

***

Record 4
A relaxed Ba3PbW crystal, computed with GGA-PBE.

Results
Mass density, g/cm3: 6.223
DOS(E_F), states/eV per cell: 7.75
ΔE_f, eV per atom: 0.769
E above lowest polymorph, meV per atom: 0.0

POSCAR file:
```
Ba3PbW
1.0
5.984 0.000 0.000
0.000 5.984 0.000
0.000 0.000 5.984
Ba Pb W
3 1 1
Cartesian
0.000 0.000 2.992 Ba
0.000 2.992 0.000 Ba
2.992 0.000 0.000 Ba
2.992 2.992 2.992 Pb
0.000 0.000 0.000 W
```

***

Record 5
A relaxed PmUMnC3 crystal, computed with GGA-PBE.

Results
Mass density, g/cm3: 9.557
DOS(E_F), states/eV per cell: 8.16
ΔE_f, eV per atom: -0.106

POSCAR file:
```
PmUMnC3
1.0
-2.871 0.995 2.153
2.957 -5.319 3.179
3.559 5.531 2.190
C Pm U Mn
6 2 2 2
Cartesian
4.065 -0.841 5.809 C
0.341 -1.635 4.430 C
3.304 2.841 3.093 C
1.842 0.771 5.320 C
1.802 0.435 2.202 C
-0.421 2.047 1.713 C
4.404 1.662 5.105 Pm
-0.760 -0.456 2.418 Pm
1.087 2.234 3.638 U
2.557 -1.028 3.884 U
1.066 1.654 0.657 Mn
2.578 -0.448 6.865 Mn
```

***

Record 6
A relaxed Ca2In2Au crystal, computed with GGA-PBE.

Results
Mass density, g/cm3: 6.182
DOS(E_F), states/eV per cell: 6.33
ΔE_f, eV per atom: -0.445

POSCAR file:
```
Ca2In2Au
1.0
-0.313 -0.797 -7.402
4.508 -5.916 0.447
-3.898 -2.934 0.481
Ca In Au
4 4 2
Cartesian
1.585 -6.914 -4.346 Ca
-0.720 -4.084 -5.759 Ca
1.016 -5.564 -0.716 Ca
-1.288 -2.734 -2.129 Ca
0.422 -1.325 -4.660 In
2.606 -4.462 -6.096 In
1.589 -2.252 -0.859 In
3.773 -5.389 -2.295 In
2.098 -3.357 -3.478 Au
0.000 0.000 0.000 Au
```

***

Record 7
A relaxed LiTcGe2 crystal, computed with GGA-PBE.

Results
Mass density, g/cm3: 7.102
DOS(E_F), states/eV per cell: 1.71
ΔE_f, eV per atom: -0.058
E above lowest polymorph, meV per atom: 124.8

POSCAR file:
```
LiTcGe2
1.0
-2.767 -3.285 -0.735
-3.953 0.029 1.834
-3.539 0.641 -2.461
Ge Li Tc
2 1 1
Cartesian
-7.694 -1.962 -1.021 Ge
-2.565 -0.654 -0.340 Ge
0.000 0.000 0.000 Li
-5.129 -1.308 -0.681 Tc
```

***

Record 8
A relaxed TlFeH3 crystal, computed with GGA-PBE.

Results
Mass density, g/cm3: 6.700
DOS(E_F), states/eV per cell: 5.15
E above lowest polymorph, meV per atom: 784.2

POSCAR file:
```
TlFeH3
1.0
4.026 0.000 0.000
0.000 4.026 0.000
0.000 0.000 4.026
Tl H Fe
1 3 1
Cartesian
0.000 0.000 0.000 Tl
0.000 2.013 0.000 H
2.013 0.000 0.000 H
0.000 0.000 2.013 H
2.013 2.013 2.013 Fe
```